1.
Below is KCeCd2Br8 after structural relaxation, with properties calculated at the PBE level.

As for the density of states at the Fermi level: 8.0 states/eV/f.u. For the volume, the calculation gives 445 Å³/cell. Its uncorrected formation energy is -15.33 eV/f.u. The value obtained for the magnetic moment is 1.00 μB/cell.

Geometry as CIF:
```
data_KCeCd2Br8
_chemical_formula_sum 'K1 Ce1 Cd2 Br8'
_space_group_name_H-M_alt 'P 1'
_space_group_IT_number 1
_cell_length_a 6.884
_cell_length_b 7.006
_cell_length_c 9.465
_cell_angle_alpha 82.36
_cell_angle_beta 81.22
_cell_angle_gamma 82.93
loop_
_space_group_symop_operation_xyz
'x,y,z'
loop_
_atom_site_label
_atom_site_fract_x
_atom_site_fract_y
_atom_site_fract_z
K1 0.000 0.000 0.000
Ce1 0.000 0.000 0.500
Cd1 0.443 0.461 0.216
Cd2 0.557 0.539 0.784
Br1 0.223 0.794 0.723
Br2 0.252 0.314 0.472
Br3 0.266 0.831 0.264
Br4 0.290 0.355 0.998
Br5 0.710 0.645 0.002
Br6 0.734 0.169 0.736
Br7 0.748 0.686 0.528
Br8 0.777 0.206 0.277
```

2.
Below is KCeCdBr6 after structural relaxation, with properties calculated at the PBE level.

As for the density of states at the Fermi level: 8.2 states/eV/f.u. For the volume, the calculation gives 693 Å³/cell. Its uncorrected formation energy is -13.33 eV/f.u. The value obtained for the magnetic moment is 2.00 μB/cell.

Geometry as CIF:
```
data_KCeCdBr6
_chemical_formula_sum 'K2 Ce2 Cd2 Br12'
_space_group_name_H-M_alt 'P 1'
_space_group_IT_number 1
_cell_length_a 7.421
_cell_length_b 7.421
_cell_length_c 14.535
_cell_angle_alpha 90.00
_cell_angle_beta 90.00
_cell_angle_gamma 120.00
loop_
_space_group_symop_operation_xyz
'x,y,z'
loop_
_atom_site_label
_atom_site_fract_x
_atom_site_fract_y
_atom_site_fract_z
K1 0.000 0.000 0.000
K2 0.000 0.000 0.500
Ce1 0.333 0.667 0.250
Ce2 0.667 0.333 0.750
Cd1 0.333 0.667 0.750
Cd2 0.667 0.333 0.250
Br1 0.011 0.373 0.636
Br2 0.011 0.638 0.864
Br3 0.362 0.373 0.864
Br4 0.362 0.989 0.636
Br5 0.373 0.011 0.136
Br6 0.373 0.362 0.364
Br7 0.627 0.638 0.636
Br8 0.627 0.989 0.864
Br9 0.638 0.011 0.364
Br10 0.638 0.627 0.136
Br11 0.989 0.362 0.136
Br12 0.989 0.627 0.364
```